Material: Hf3ZrPa
Method: DFT, PBE
State: optimized geometry

Values from the calculation:
SG = No. 8
Formation energy = 0.0824 eV/atom
Energy relative to the lowest polymorph listed for this composition = 0.00 kcal/mol of atoms

Cell lengths 3.1044, 8.4782, 8.4782 Å; angles 145.73, 68.46, 111.54 degrees
Element x y z (fractional)
Hf 0.0592 0.1703 0.6745
Hf 0.3876 0.5851 0.2597
Hf 0.1781 0.9805 0.8642
Zr 0.4926 0.3883 0.4564
Pa 0.7790 0.7807 0.0640

---

Material: AsSe2SO
Method: DFT, PBE
State: optimized geometry

Values from the calculation:
SG = No. 123
E_form (uncorrected) = 3.7 eV per formula unit
Energy relative to the lowest polymorph listed for this composition = 0.00 kcal/mol of atoms

Cell lengths 4.4171, 4.4171, 4.6168 Å; angles 90.00, 90.00, 90.00 degrees
Element x y z (fractional)
Se 0.0000 0.5000 0.0000
Se 0.5000 0.0000 0.0000
S 0.5000 0.5000 0.5000
O 0.0000 0.0000 0.0000
As 0.0000 0.0000 0.5000

---

Material: Nd4Ag5Pt2
Method: DFT, PBE
State: optimized geometry

Values from the calculation:
SG = No. 10
Formation energy = -0.5171 eV/atom

Cell lengths 3.8506, 7.4771, 9.4127 Å; angles 95.45, 90.00, 90.00 degrees
Element x y z (fractional)
Ag 0.0000 0.4615 0.6867
Ag 0.0000 0.1774 0.1428
Ag 0.0000 0.5385 0.3133
Ag 0.0000 0.5000 0.0000
Ag 0.0000 0.8226 0.8572
Pt 0.0000 0.0721 0.6448
Pt 0.0000 0.9279 0.3552
Nd 0.5000 0.1903 0.8625
Nd 0.5000 0.7642 0.5613
Nd 0.5000 0.2358 0.4387
Nd 0.5000 0.8097 0.1375

---

Material: Ag2PtAu
Method: DFT, PBE
State: optimized geometry

Values from the calculation:
SG = No. 187
Formation energy = -0.0063 eV/atom
Energy relative to the lowest polymorph listed for this composition = 0.30 kcal/mol of atoms

Cell lengths 2.8518, 2.8518, 9.7678 Å; angles 90.00, 90.00, 119.97 degrees
Element x y z (fractional)
Ag 0.5336 0.4664 0.7442
Ag 0.5336 0.4664 0.2558
Pt 0.8673 0.1327 0.5000
Au 0.1995 0.8005 0.0000

---

Material: InAgPd2
Method: DFT, PBE
State: optimized geometry

Values from the calculation:
SG = No. 123
Formation energy = -0.3780 eV/atom

Cell lengths 3.8380, 4.2222, 4.2222 Å; angles 90.00, 90.00, 90.00 degrees
Element x y z (fractional)
Pd 0.0000 0.5000 0.0000
Pd 0.0000 0.0000 0.5000
Ag 0.5000 0.0000 0.0000
In 0.5000 0.5000 0.5000

---

Material: MgZr2Te
Method: DFT, PBE
State: optimized geometry

Values from the calculation:
SG = No. 225
E_form (uncorrected) = -0.3 eV per formula unit
Energy relative to the lowest polymorph listed for this composition = 4.92 kcal/mol of atoms

Cell lengths 5.0173, 5.0173, 5.0173 Å; angles 60.00, 60.00, 60.00 degrees
Element x y z (fractional)
Zr 0.2500 0.2500 0.2500
Zr 0.7500 0.7500 0.7500
Te 0.5000 0.5000 0.5000
Mg 0.0000 0.0000 0.0000

---

no.,VASP energy (eV per atom)
1,-9.4985
2,-3.3998
3,-4.6452
4,-3.7614
5,-4.3718
6,-5.5420